## Co2P2O7 (PBE+U)

Data for a geometry-optimized Co2P2O7 structure.

Lattice parameters (Å, degrees): 4.5421 5.4551 9.9631 90.00 90.00 97.76
Last column: magnetic moment on the atom in μB.
Sites, in units of the cell vectors:
O: 0.8875 0.7366 0.7011  0.06
O: 0.8875 0.2366 0.7989  0.06
O: 0.6221 0.9704 0.3171  0.06
P: 0.1458 0.8453 0.6100  0.01
P: 0.8542 0.1547 0.3900  0.01
P: 0.8542 0.6547 0.1100  0.01
Co: 0.3864 0.5910 0.3408  2.76
O: 0.0000 0.0000 0.5000  0.01
O: 0.1125 0.7634 0.2011  0.06
O: 0.3779 0.5296 0.8171  0.06
O: 0.7087 0.3556 0.4632  0.05
Co: 0.3866 0.0910 0.1592  2.76
O: 0.6221 0.4704 0.1830  0.06
O: 0.0000 0.5000 0.0000  0.01
Co: 0.6135 0.9090 0.8408  2.76
O: 0.1125 0.2634 0.2989  0.06
O: 0.3779 0.0296 0.6830  0.06
O: 0.7087 0.8556 0.0368  0.05
Co: 0.6135 0.4090 0.6592  2.76
O: 0.2913 0.1445 0.9632  0.05
P: 0.1458 0.3453 0.8900  0.01
O: 0.2913 0.6444 0.5368  0.05

Properties
For the excess energy over the best structure of this formula in the dataset, the calculation gives 2 meV/atom. As for the volume: 11.12 A^3/atom. The total energy comes out at -6.9097 eV/atom.